No. 1
# LaNd6Mg2 (PBE-GGA, relaxed)
# Formation energy (eV per atom): 0.04
# DFT total energy (eV per atom): -4.037
# Volume (Å³/cell): 592
# ΔE to the lowest computed polymorph (meV/atom): 73
data_LaNd6Mg2
_chemical_formula_sum 'La2 Nd12 Mg4'
_symmetry_space_group_name_H-M 'P 1'
_symmetry_Int_Tables_number 1
_cell_length_a 5.983
_cell_length_b 10.314
_cell_length_c 10.314
_cell_angle_alpha 70.04
_cell_angle_beta 83.05
_cell_angle_gamma 83.05
loop_
_symmetry_equiv_pos_as_xyz
'x,y,z'
loop_
_atom_site_label
_atom_site_fract_x
_atom_site_fract_y
_atom_site_fract_z
Nd1 0.039 0.546 0.329
Nd2 0.646 0.119 0.350
Nd3 0.854 0.650 0.881
Nd4 0.354 0.881 0.650
Nd5 0.461 0.671 0.454
Nd6 0.204 0.001 0.222
Nd7 0.796 0.999 0.778
Nd8 0.961 0.454 0.671
Nd9 0.539 0.329 0.546
Nd10 0.704 0.222 0.001
Nd11 0.146 0.350 0.119
Nd12 0.296 0.778 0.999
Mg1 0.407 0.523 0.799
Mg2 0.593 0.477 0.201
Mg3 0.093 0.201 0.477
Mg4 0.907 0.799 0.523
La1 0.750 0.841 0.159
La2 0.250 0.159 0.841

=====

No. 2
# La4Nd5Mg (PBE-GGA, relaxed)
# Formation energy (eV per atom): 0.14
# DFT total energy (eV per atom): -4.372
# Volume (Å³/cell): 361
# ΔE to the lowest computed polymorph (meV/atom): 155
data_La4Nd5Mg
_chemical_formula_sum 'La4 Nd5 Mg1'
_symmetry_space_group_name_H-M 'P 1'
_symmetry_Int_Tables_number 1
_cell_length_a 6.053
_cell_length_b 8.297
_cell_length_c 8.297
_cell_angle_alpha 82.35
_cell_angle_beta 68.60
_cell_angle_gamma 68.60
loop_
_symmetry_equiv_pos_as_xyz
'x,y,z'
loop_
_atom_site_label
_atom_site_fract_x
_atom_site_fract_y
_atom_site_fract_z
Nd1 0.767 0.371 0.000
Nd2 0.138 0.629 0.000
Nd3 0.766 0.000 0.371
Nd4 0.659 0.000 0.000
Nd5 0.138 0.000 0.629
La1 0.466 0.685 0.314
La2 0.151 0.314 0.315
La3 0.465 0.315 0.686
La4 0.780 0.686 0.685
Mg1 0.181 0.000 0.000

=====

No. 3
# La4NdMg3 (PBE-GGA, relaxed)
# Formation energy (eV per atom): -0.07
# DFT total energy (eV per atom): -3.732
# Volume (Å³/cell): 261
data_La4NdMg3
_chemical_formula_sum 'La4 Nd1 Mg3'
_symmetry_space_group_name_H-M 'P 1'
_symmetry_Int_Tables_number 1
_cell_length_a 3.901
_cell_length_b 3.901
_cell_length_c 17.158
_cell_angle_alpha 90.00
_cell_angle_beta 90.00
_cell_angle_gamma 90.00
loop_
_symmetry_equiv_pos_as_xyz
'x,y,z'
loop_
_atom_site_label
_atom_site_fract_x
_atom_site_fract_y
_atom_site_fract_z
La1 0.000 0.000 0.147
La2 0.000 0.000 0.853
La3 0.000 0.000 0.383
La4 0.000 0.000 0.617
Mg1 0.500 0.500 0.264
Mg2 0.500 0.500 0.736
Mg3 0.500 0.500 0.500
Nd1 0.500 0.500 0.000

=====

No. 4
# La3Nd12Mg (PBE-GGA, relaxed)
# Formation energy (eV per atom): 0.01
# DFT total energy (eV per atom): -4.585
# Volume (Å³/cell): 558
data_La3Nd12Mg
_chemical_formula_sum 'La3 Nd12 Mg1'
_symmetry_space_group_name_H-M 'P 1'
_symmetry_Int_Tables_number 1
_cell_length_a 5.181
_cell_length_b 5.181
_cell_length_c 20.777
_cell_angle_alpha 90.00
_cell_angle_beta 90.00
_cell_angle_gamma 90.00
loop_
_symmetry_equiv_pos_as_xyz
'x,y,z'
loop_
_atom_site_label
_atom_site_fract_x
_atom_site_fract_y
_atom_site_fract_z
Nd1 0.500 0.000 0.626
Nd2 0.500 0.000 0.374
Nd3 0.000 0.500 0.879
Nd4 0.500 0.500 0.756
Nd5 0.000 0.500 0.626
Nd6 0.500 0.000 0.121
Nd7 0.000 0.500 0.121
Nd8 0.500 0.500 0.500
Nd9 0.000 0.500 0.374
Nd10 0.500 0.500 0.000
Nd11 0.500 0.000 0.879
Nd12 0.500 0.500 0.244
Mg1 0.000 0.000 0.000
La1 0.000 0.000 0.246
La2 0.000 0.000 0.754
La3 0.000 0.000 0.500

=====

No. 5
# La6NdMg2 (PBE-GGA, relaxed)
# Formation energy (eV per atom): -0.01
# DFT total energy (eV per atom): -4.179
# Volume (Å³/cell): 310
# ΔE to the lowest computed polymorph (meV/atom): 0
data_La6NdMg2
_chemical_formula_sum 'La6 Nd1 Mg2'
_symmetry_space_group_name_H-M 'P 1'
_symmetry_Int_Tables_number 1
_cell_length_a 5.684
_cell_length_b 6.882
_cell_length_c 9.163
_cell_angle_alpha 82.93
_cell_angle_beta 71.93
_cell_angle_gamma 65.61
loop_
_symmetry_equiv_pos_as_xyz
'x,y,z'
loop_
_atom_site_label
_atom_site_fract_x
_atom_site_fract_y
_atom_site_fract_z
La1 0.891 0.284 0.933
La2 0.258 0.902 0.581
La3 0.742 0.098 0.419
La4 0.353 0.111 0.182
La5 0.109 0.716 0.067
La6 0.647 0.889 0.818
Mg1 0.576 0.580 0.268
Mg2 0.424 0.420 0.732
Nd1 0.000 0.500 0.500

=====

No. 6
# La2Nd2Mg15 (PBE-GGA, relaxed)
# Formation energy (eV per atom): -0.02
# DFT total energy (eV per atom): -2.303
# Volume (Å³/cell): 504
data_La2Nd2Mg15
_chemical_formula_sum 'La2 Nd2 Mg15'
_symmetry_space_group_name_H-M 'P 1'
_symmetry_Int_Tables_number 1
_cell_length_a 8.013
_cell_length_b 8.013
_cell_length_c 8.013
_cell_angle_alpha 83.24
_cell_angle_beta 83.24
_cell_angle_gamma 83.24
loop_
_symmetry_equiv_pos_as_xyz
'x,y,z'
loop_
_atom_site_label
_atom_site_fract_x
_atom_site_fract_y
_atom_site_fract_z
Mg1 0.646 0.646 0.159
Mg2 0.302 0.698 0.000
Mg3 0.000 0.302 0.698
Mg4 0.000 0.000 0.500
Mg5 0.000 0.500 0.000
Mg6 0.302 0.000 0.698
Mg7 0.698 0.000 0.302
Mg8 0.159 0.646 0.646
Mg9 0.698 0.302 0.000
Mg10 0.354 0.841 0.354
Mg11 0.000 0.698 0.302
Mg12 0.500 0.000 0.000
Mg13 0.646 0.159 0.646
Mg14 0.354 0.354 0.841
Mg15 0.841 0.354 0.354
Nd1 0.095 0.095 0.095
Nd2 0.905 0.905 0.905
La1 0.666 0.666 0.666
La2 0.334 0.334 0.334

=====

No. 7
# La14NdMg (PBE-GGA, relaxed)
# Formation energy (eV per atom): -0.01
# DFT total energy (eV per atom): -4.719
# Volume (Å³/cell): 570
data_La14NdMg
_chemical_formula_sum 'La14 Nd1 Mg1'
_symmetry_space_group_name_H-M 'P 1'
_symmetry_Int_Tables_number 1
_cell_length_a 7.363
_cell_length_b 7.363
_cell_length_c 10.513
_cell_angle_alpha 90.00
_cell_angle_beta 90.00
_cell_angle_gamma 89.99
loop_
_symmetry_equiv_pos_as_xyz
'x,y,z'
loop_
_atom_site_label
_atom_site_fract_x
_atom_site_fract_y
_atom_site_fract_z
La1 0.128 0.378 0.247
La2 0.622 0.872 0.247
La3 0.622 0.872 0.753
La4 0.875 0.625 0.500
La5 0.875 0.125 0.500
La6 0.375 0.625 0.500
La7 0.129 0.871 0.754
La8 0.129 0.871 0.246
La9 0.375 0.125 0.500
La10 0.622 0.378 0.753
La11 0.875 0.625 0.000
La12 0.622 0.378 0.247
La13 0.375 0.125 0.000
La14 0.128 0.378 0.753
Mg1 0.375 0.625 0.000
Nd1 0.875 0.125 0.000

=====

No. 8
# La2Nd6Mg (PBE-GGA, relaxed)
# Formation energy (eV per atom): 0.07
# DFT total energy (eV per atom): -4.385
# Volume (Å³/cell): 315
# ΔE to the lowest computed polymorph (meV/atom): 0
data_La2Nd6Mg
_chemical_formula_sum 'La2 Nd6 Mg1'
_symmetry_space_group_name_H-M 'P 1'
_symmetry_Int_Tables_number 1
_cell_length_a 3.655
_cell_length_b 3.655
_cell_length_c 27.221
_cell_angle_alpha 90.00
_cell_angle_beta 90.00
_cell_angle_gamma 120.00
loop_
_symmetry_equiv_pos_as_xyz
'x,y,z'
loop_
_atom_site_label
_atom_site_fract_x
_atom_site_fract_y
_atom_site_fract_z
Nd1 0.333 0.667 0.789
Nd2 0.333 0.667 0.437
Nd3 0.667 0.333 0.102
Nd4 0.333 0.667 0.563
Nd5 0.667 0.333 0.898
Nd6 0.333 0.667 0.211
Mg1 0.333 0.667 0.000
La1 0.667 0.333 0.673
La2 0.667 0.333 0.327

=====

No. 9
# LaNdMg17 (PBE-GGA, relaxed)
# Formation energy (eV per atom): -0.07
# DFT total energy (eV per atom): -2.005
# Volume (Å³/cell): 469
data_LaNdMg17
_chemical_formula_sum 'La1 Nd1 Mg17'
_symmetry_space_group_name_H-M 'P 1'
_symmetry_Int_Tables_number 1
_cell_length_a 7.833
_cell_length_b 7.833
_cell_length_c 7.833
_cell_angle_alpha 82.34
_cell_angle_beta 82.34
_cell_angle_gamma 82.34
loop_
_symmetry_equiv_pos_as_xyz
'x,y,z'
loop_
_atom_site_label
_atom_site_fract_x
_atom_site_fract_y
_atom_site_fract_z
Mg1 0.844 0.351 0.351
Mg2 0.999 0.501 0.999
Mg3 0.300 0.001 0.699
Mg4 0.999 0.999 0.501
Mg5 0.647 0.163 0.647
Mg6 0.647 0.647 0.163
Mg7 0.699 0.300 0.001
Mg8 0.001 0.699 0.300
Mg9 0.699 0.001 0.300
Mg10 0.351 0.351 0.844
Mg11 0.099 0.099 0.099
Mg12 0.300 0.699 0.001
Mg13 0.501 0.999 0.999
Mg14 0.351 0.844 0.351
Mg15 0.163 0.647 0.647
Mg16 0.902 0.902 0.902
Mg17 0.001 0.300 0.699
La1 0.668 0.668 0.668
Nd1 0.330 0.330 0.330

=====

No. 10
# La8Nd5Mg (PBE-GGA, relaxed)
# Formation energy (eV per atom): 0.20
# DFT total energy (eV per atom): -4.433
# Volume (Å³/cell): 512
data_La8Nd5Mg
_chemical_formula_sum 'La8 Nd5 Mg1'
_symmetry_space_group_name_H-M 'P 1'
_symmetry_Int_Tables_number 1
_cell_length_a 8.734
_cell_length_b 8.731
_cell_length_c 8.736
_cell_angle_alpha 109.93
_cell_angle_beta 108.64
_cell_angle_gamma 109.89
loop_
_symmetry_equiv_pos_as_xyz
'x,y,z'
loop_
_atom_site_label
_atom_site_fract_x
_atom_site_fract_y
_atom_site_fract_z
La1 0.339 0.273 0.445
La2 0.934 0.106 0.661
La3 0.555 0.894 0.828
La4 0.648 0.402 0.917
La5 0.172 0.727 0.066
La6 0.083 0.731 0.485
La7 0.515 0.598 0.246
La8 0.754 0.269 0.352
Nd1 0.017 0.302 0.126
Nd2 0.285 0.109 0.983
Nd3 0.824 0.698 0.715
Nd4 0.500 0.000 0.500
Nd5 0.874 0.891 0.176
Mg1 0.250 0.500 0.750

=====

Number 8 is which compound? La2Nd6Mg

=====

Number 4 is which compound? La3Nd12Mg